Entry 1:
A plane-wave DFT calculation with PBE was carried out for crystalline NdGa4Ni3 at its relaxed geometry.

Cell: 4.1174 4.1174 7.7986 Å, 90.00 90.00 90.00°
Space group P4/mmm (No. 123)
Symmetry-distinct sites (fractional):
Nd: 0.0000 0.0000 0.0000 x1
Ga: 0.0000 0.5000 0.3239 x4
Ni: 0.0000 0.0000 0.5000 x1
Ni: 0.5000 0.5000 0.1507 x2

Density, g/cm3: 7.53
Energy relative to the elements, kJ/mol of atoms: -43

***

Entry 2:
A plane-wave DFT calculation with PBE was carried out for crystalline Mg2ZnPb at its relaxed geometry.

Cell: 4.6611 5.5132 8.1697 Å, 93.29 106.53 112.98°
Space group P-1 (No. 2)
Symmetry-distinct sites (fractional):
Mg: 0.0085 0.3689 0.1609 x2
Mg: 0.2026 0.3299 0.5700 x2
Zn: 0.3363 0.2482 0.9336 x2
Pb: 0.4008 0.0242 0.2823 x2

Density, g/cm3: 5.87
Energy relative to the elements, kJ/mol of atoms: -1

***

Entry 3:
A plane-wave DFT calculation with PBE was carried out for crystalline Zr3Tl2H2 at its relaxed geometry.

Cell: 5.5004 9.2189 6.0037 Å, 90.00 121.93 90.00°
Space group P2_1/c (No. 14)
Symmetry-distinct sites (fractional):
Zr: 0.0000 0.0000 0.0000 x2
Zr: 0.3201 0.0606 0.6434 x4
Tl: 0.2077 0.7384 0.3327 x4
H: 0.3649 0.0700 0.3269 x4

Electronic total energy, eV/atom: -5.3888
Density, g/cm3: 8.80